(1)
VASP calculation (PBE) on Sr2SiSb2 after structural relaxation.

Cell: 7.930 7.930 4.875 Å, 90.00 90.00 90.00°
Positions (direct):
Sr 0.176 0.324 0.000
Sr 0.324 0.824 0.000
Sr 0.676 0.176 0.000
Sr 0.824 0.676 0.000
Si 0.000 0.000 0.500
Si 0.500 0.500 0.500
Sb 0.133 0.633 0.500
Sb 0.367 0.133 0.500
Sb 0.633 0.867 0.500
Sb 0.867 0.367 0.500

Computed properties:
ΔE_f (raw)	-0.48	eV/atom
symmetry	P4/mbm (127)

***

(2)
VASP calculation (PBE) on Hf3TlRe after structural relaxation.

Cell: 5.118 5.118 5.118 Å, 90.00 90.00 90.00°
Positions (direct):
Hf 0.000 0.000 0.500
Hf 0.000 0.500 0.000
Hf 0.500 0.000 0.000
Tl 0.000 0.000 0.000
Re 0.500 0.500 0.500

Computed properties:
polymorph energy (0 for the lowest one)	1.455	eV per atom
symmetry	Pm-3m (221)
E_form	197	kJ per mole of atoms

***

(3)
VASP calculation (PBE) on Ce2Nd3Te8 after structural relaxation.

Cell: 9.430 9.430 5.405 Å, 90.00 90.00 109.77°
Positions (direct):
Ce 0.240 0.760 0.000
Ce 0.760 0.240 0.000
Nd 0.223 0.223 0.500
Nd 0.500 0.500 0.000
Nd 0.777 0.777 0.500
Te 0.132 0.868 0.500
Te 0.134 0.384 0.000
Te 0.380 0.620 0.500
Te 0.384 0.134 0.000
Te 0.616 0.866 0.000
Te 0.620 0.380 0.500
Te 0.866 0.616 0.000
Te 0.868 0.132 0.500

Computed properties:
ΔE_f (raw)	-1.23	eV/atom
symmetry	Cmmm (65)

***

(4)
VASP calculation (PBE) on ScBe3Os after structural relaxation.

Cell: 4.198 4.198 4.198 Å, 90.00 90.00 90.00°
Positions (direct):
Sc 0.000 0.000 0.000
Be 0.000 0.500 0.500
Be 0.500 0.000 0.500
Be 0.500 0.500 0.000
Os 0.500 0.500 0.500

Computed properties:
polymorph energy (0 for the lowest one)	0.000	eV per atom
symmetry	Pm-3m (221)
E_form	10	kJ per mole of atoms

***

(5)
VASP calculation (PBE) on MgAsCl after structural relaxation.

Cell: 6.680 6.680 6.680 Å, 90.00 90.00 90.00°
Positions (direct):
Mg 0.000 0.000 0.000
Mg 0.000 0.500 0.500
Mg 0.500 0.000 0.500
Mg 0.500 0.500 0.000
As 0.250 0.250 0.250
As 0.250 0.750 0.750
As 0.750 0.250 0.750
As 0.750 0.750 0.250
Cl 0.250 0.250 0.750
Cl 0.250 0.750 0.250
Cl 0.750 0.250 0.250
Cl 0.750 0.750 0.750

Computed properties:
polymorph energy (0 for the lowest one)	0.632	eV per atom
ΔE_f (raw)	-0.12	eV/atom
symmetry	F-43m (216)

***

(6)
VASP calculation (PBE) on Ca2AsHPd6 after structural relaxation.

Cell: 5.813 5.828 6.708 Å, 115.71 90.07 119.81°
Positions (direct):
Ca 0.228 0.453 0.179
Ca 0.772 0.547 0.821
As 0.500 0.000 0.000
H 0.000 0.000 0.500
Pd 0.228 0.460 0.691
Pd 0.229 0.964 0.694
Pd 0.269 0.038 0.309
Pd 0.731 0.962 0.691
Pd 0.771 0.036 0.306
Pd 0.772 0.540 0.309

Computed properties:
symmetry	P-1 (2)
electronic total energy	-49.219	eV per cell